--- w ---
This record from Alexandria describes a geometry-optimized Mg2VWO6 structure. The functional is PBE+U.

Cell: 5.2118 5.3575 9.2473 Å, 90.00 123.50 90.00°
Fractional coordinates of all 20 atoms:
Mg  0.2439  0.0415  0.2424
Mg  0.2439  0.4585  0.7424
Mg  0.7561  0.5415  0.2576
Mg  0.7561  0.9585  0.7576
V  0.0000  0.0000  0.5000
V  0.0000  0.5000  0.0000
W  0.5000  0.0000  0.0000
W  0.5000  0.5000  0.5000
O  0.1169  0.1763  0.9405
O  0.1169  0.3237  0.4405
O  0.2479  0.6823  0.9250
O  0.2479  0.8177  0.4250
O  0.3820  0.0830  0.7575
O  0.3820  0.4170  0.2575
O  0.6180  0.5830  0.7425
O  0.6180  0.9170  0.2425
O  0.7521  0.1823  0.5750
O  0.7521  0.3177  0.0750
O  0.8831  0.6763  0.5595
O  0.8831  0.8237  0.0595

=====

--- x ---
This record from Alexandria describes a geometry-optimized Mg2VWO6 structure. The functional is PBE+U.

Cell: 5.1768 5.2051 5.5512 Å, 62.58 62.39 60.77°
Fractional coordinates of all 10 atoms:
Mg  0.0000  0.0000  0.0000
Mg  0.4951  0.5112  0.4991
V  0.7067  0.7090  0.8758
W  0.2046  0.2087  0.3813
O  0.0922  0.8225  0.6656
O  0.3187  0.5952  0.1638
O  0.4161  0.1049  0.6532
O  0.5898  0.9260  0.1678
O  0.8156  0.4287  0.6660
O  0.9422  0.3142  0.1672

As for the density of states at the Fermi level: 0.00 states/eV per cell.

=====

Which structure is the least stable? The one labeled w.

=====

--- w ---
This record from Alexandria describes a geometry-optimized MgW2O structure. The functional is PBE+U.

Cell: 4.6809 4.6809 4.6809 Å, 60.00 60.00 60.00°
Fractional coordinates of all 4 atoms:
Mg  0.0000  0.0000  0.0000
W  0.2500  0.2500  0.2500
W  0.7500  0.7500  0.7500
O  0.5000  0.5000  0.5000

As for the density of states at the Fermi level: 2.30 states/eV per cell.

=====

--- x ---
This record from Alexandria describes a geometry-optimized MgW2O structure. The functional is PBE+U.

Cell: 7.4699 7.4699 7.4699 Å, 136.03 136.03 63.93°
Fractional coordinates of all 8 atoms:
Mg  0.3750  0.6250  0.7500
Mg  0.6250  0.3750  0.2500
W  0.0000  0.0000  0.0000
W  0.0000  0.0000  0.5000
W  0.0000  0.5000  0.0000
W  0.5000  0.0000  0.5000
O  0.1250  0.8750  0.2500
O  0.8750  0.1250  0.7500

As for the density of states at the Fermi level: 3.70 states/eV per cell.

=====

Which structure is the least stable? The one labeled w.

=====

--- w ---
This record from Alexandria describes a geometry-optimized Mg2W3O8 structure. The functional is PBE+U.

Cell: 6.2348 6.2348 4.9118 Å, 104.92 104.92 55.57°
Fractional coordinates of all 13 atoms:
Mg  0.2194  0.2194  0.1583
Mg  0.7806  0.7806  0.8417
W  0.2699  0.7301  0.5000
W  0.5000  0.5000  0.0000
W  0.7301  0.2699  0.5000
O  0.0938  0.0938  0.3912
O  0.1386  0.6167  0.0997
O  0.3627  0.3627  0.5681
O  0.3833  0.8614  0.9003
O  0.6167  0.1386  0.0997
O  0.6373  0.6373  0.4319
O  0.8614  0.3833  0.9003
O  0.9062  0.9062  0.6088

=====

--- x ---
This record from Alexandria describes a geometry-optimized Mg2W3O8 structure. The functional is PBE+U.

Cell: 6.3508 6.3508 9.4213 Å, 90.00 90.00 120.00°
Fractional coordinates of all 26 atoms:
Mg  0.3333  0.6667  0.0000
Mg  0.3333  0.6667  0.3816
Mg  0.6667  0.3333  0.5000
Mg  0.6667  0.3333  0.8816
W  0.1644  0.3288  0.7133
W  0.1644  0.8356  0.7133
W  0.3288  0.1644  0.2133
W  0.6712  0.8356  0.7133
W  0.8356  0.1644  0.2133
W  0.8356  0.6712  0.2133
O  0.0000  0.0000  0.3262
O  0.0000  0.0000  0.8262
O  0.0398  0.5199  0.8394
O  0.1688  0.3376  0.1164
O  0.1688  0.8312  0.1164
O  0.3333  0.6667  0.5939
O  0.3376  0.1688  0.6164
O  0.4801  0.5199  0.8394
O  0.4801  0.9602  0.8394
O  0.5199  0.0398  0.3394
O  0.5199  0.4801  0.3394
O  0.6624  0.8312  0.1164
O  0.6667  0.3333  0.0939
O  0.8312  0.1688  0.6164
O  0.8312  0.6624  0.6164
O  0.9602  0.4801  0.3394

As for the density of states at the Fermi level: 0.00 states/eV per cell.

=====

Which structure is the least stable? The one labeled w.